[1]
GGA-PBE K7Na3, relaxed; ΔH_f (0 K) = 0.033 eV/atom; DFT total energy = -1.131 eV per atom; distance to the lowest polymorph of the same formula = 0.13 eV per formula unit
1.0
13.3535 0.0000 0.0000
-6.6767 11.5644 0.0000
0.0000 0.0000 8.0731
K Na
14 6
direct
0.0715 0.5357 0.0000 K
0.1214 0.2429 0.2207 K
0.1214 0.8786 0.2207 K
0.2429 0.1214 0.7207 K
0.3333 0.6667 0.4120 K
0.4643 0.5357 0.0000 K
0.4643 0.9285 0.0000 K
0.5357 0.0715 0.5000 K
0.5357 0.4643 0.5000 K
0.6667 0.3333 0.9120 K
0.7571 0.8786 0.2207 K
0.8786 0.1214 0.7207 K
0.8786 0.7571 0.7207 K
0.9285 0.4643 0.5000 K
0.1970 0.3941 0.6862 Na
0.1970 0.8030 0.6862 Na
0.3941 0.1970 0.1862 Na
0.6059 0.8030 0.6862 Na
0.8030 0.1970 0.1862 Na
0.8030 0.6059 0.1862 Na



[2]
GGA-PBE KNa8, relaxed; ΔH_f (0 K) = 0.023 eV/atom; DFT total energy = -1.271 eV per atom; distance to the lowest polymorph of the same formula = 0.02 eV per formula unit
1.0
-6.5914 6.5914 2.0922
6.5914 -6.5914 2.0922
6.5914 6.5914 -2.0922
K Na
1 8
direct
0.0000 0.0000 0.0000 K
0.0000 0.3348 0.3348 Na
0.0000 0.6652 0.6652 Na
0.3234 0.3234 0.6467 Na
0.3234 0.6766 0.0000 Na
0.3348 0.0000 0.3348 Na
0.6652 0.0000 0.6652 Na
0.6766 0.3234 0.0000 Na
0.6766 0.6766 0.3533 Na



[3]
GGA-PBE KNa6, relaxed; ΔH_f (0 K) = 0.072 eV/atom; DFT total energy = -1.215 eV per atom; distance to the lowest polymorph of the same formula = 0.33 eV per formula unit
1.0
5.6491 0.0000 0.0000
0.0000 5.6491 0.0000
0.0000 0.0000 9.7728
K Na
1 6
direct
0.0000 0.0000 0.0000 K
0.0000 0.0000 0.5000 Na
0.0000 0.5000 0.2902 Na
0.0000 0.5000 0.7098 Na
0.5000 0.0000 0.2902 Na
0.5000 0.0000 0.7098 Na
0.5000 0.5000 0.0000 Na



[4]
GGA-PBE K7Na, relaxed; ΔH_f (0 K) = 0.017 eV/atom; DFT total energy = -1.108 eV per atom
1.0
0.0000 6.4589 6.4589
6.4589 0.0000 6.4589
6.4589 6.4589 0.0000
K Na
7 1
direct
0.0000 0.0000 0.0000 K
0.0000 0.0000 0.5000 K
0.0000 0.5000 0.0000 K
0.0000 0.5000 0.5000 K
0.5000 0.0000 0.0000 K
0.5000 0.0000 0.5000 K
0.5000 0.5000 0.0000 K
0.5000 0.5000 0.5000 Na



[5]
GGA-PBE KNa6, relaxed; ΔH_f (0 K) = 0.221 eV/atom; DFT total energy = -1.066 eV per atom; distance to the lowest polymorph of the same formula = 1.37 eV per formula unit
1.0
-4.5382 4.5382 4.5382
4.5382 -4.5382 4.5382
4.5382 4.5382 -4.5382
K Na
1 6
direct
0.0000 0.0000 0.0000 K
0.2500 0.5000 0.7500 Na
0.2500 0.7500 0.5000 Na
0.5000 0.2500 0.7500 Na
0.5000 0.7500 0.2500 Na
0.7500 0.2500 0.5000 Na
0.7500 0.5000 0.2500 Na



[6]
GGA-PBE K3Na4, relaxed; ΔH_f (0 K) = 0.022 eV/atom; DFT total energy = -1.202 eV per atom
1.0
-2.2524 2.2524 17.5415
2.2524 -2.2524 17.5415
2.2524 2.2524 -17.5415
K Na
3 4
direct
0.0000 0.0000 0.0000 K
0.1476 0.1476 0.0000 K
0.8524 0.8524 0.0000 K
0.2750 0.2750 0.0000 Na
0.4266 0.4266 0.0000 Na
0.5734 0.5734 0.0000 Na
0.7250 0.7250 0.0000 Na



[7]
GGA-PBE K2Na3, relaxed; ΔH_f (0 K) = 0.136 eV/atom; DFT total energy = -1.095 eV per atom; distance to the lowest polymorph of the same formula = 0.55 eV per formula unit
1.0
5.5394 3.1982 4.9461
-5.5394 3.1982 4.9461
0.0000 -6.3964 4.9461
K Na
4 6
direct
0.1239 0.1239 0.1239 K
0.3761 0.3761 0.3761 K
0.6239 0.6239 0.6239 K
0.8761 0.8761 0.8761 K
0.0742 0.7500 0.4258 Na
0.2500 0.5742 0.9258 Na
0.4258 0.0742 0.7500 Na
0.5742 0.9258 0.2500 Na
0.7500 0.4258 0.0742 Na
0.9258 0.2500 0.5742 Na



[8]
GGA-PBE K5Na6, relaxed; ΔH_f (0 K) = 0.050 eV/atom; DFT total energy = -1.168 eV per atom; distance to the lowest polymorph of the same formula = 0.03 eV per formula unit
1.0
4.5798 -8.1114 0.0000
4.5798 8.1114 0.0000
-2.7977 0.0000 8.0146
K Na
5 6
direct
0.0000 0.0000 0.0000 K
0.1556 0.8444 0.5000 K
0.2769 0.7231 0.0000 K
0.7231 0.2769 0.0000 K
0.8444 0.1556 0.5000 K
0.2329 0.4510 0.3335 Na
0.3580 0.3580 0.7781 Na
0.4510 0.2329 0.3335 Na
0.5490 0.7671 0.6665 Na
0.6420 0.6420 0.2219 Na
0.7671 0.5490 0.6665 Na



[9]
GGA-PBE K3Na2, relaxed; ΔH_f (0 K) = 0.035 eV/atom; DFT total energy = -1.151 eV per atom; distance to the lowest polymorph of the same formula = 0.00 eV per formula unit
1.0
0.0000 10.4042 3.7747
7.2368 0.0000 3.7747
7.2368 10.4042 0.0000
K Na
6 4
direct
0.0000 0.0000 0.0000 K
0.2500 0.2500 0.2500 K
0.4284 0.5685 0.3615 K
0.5685 0.4284 0.6415 K
0.6085 0.8885 0.6815 K
0.8885 0.6085 0.8216 K
0.1556 0.7772 0.2549 Na
0.4377 0.9951 0.4728 Na
0.7772 0.1556 0.8123 Na
0.9951 0.4377 0.0944 Na



[10]
GGA-PBE K2Na5, relaxed; ΔH_f (0 K) = 0.031 eV/atom; DFT total energy = -1.224 eV per atom
1.0
8.9343 -3.3780 0.0000
8.9343 3.3780 0.0000
-0.8333 0.0000 10.6770
K Na
4 10
direct
0.1108 0.7327 0.8971 K
0.2673 0.8892 0.6029 K
0.7327 0.1108 0.3971 K
0.8892 0.2673 0.1029 K
0.0116 0.4052 0.8095 Na
0.1713 0.5131 0.5396 Na
0.3256 0.6744 0.2500 Na
0.4052 0.0116 0.3095 Na
0.4869 0.8287 0.9604 Na
0.5131 0.1713 0.0396 Na
0.5948 0.9884 0.6905 Na
0.6744 0.3256 0.7500 Na
0.8287 0.4869 0.4604 Na
0.9884 0.5948 0.1905 Na



[11]
GGA-PBE KNaNb2, relaxed; ΔH_f (0 K) = 2.009 eV/atom; DFT total energy = -3.630 eV per atom; distance to the lowest polymorph of the same formula = 1.45 eV per formula unit
1.0
0.0000 3.6302 3.6302
3.6302 0.0000 3.6302
3.6302 3.6302 0.0000
K Na Nb
1 1 2
direct
0.0000 0.0000 0.0000 K
0.5000 0.5000 0.5000 Na
0.2500 0.2500 0.2500 Nb
0.7500 0.7500 0.7500 Nb



[12]
GGA-PBE KNa3Nb, relaxed; ΔH_f (0 K) = 1.341 eV/atom; DFT total energy = -1.684 eV per atom; distance to the lowest polymorph of the same formula = 1.86 eV per formula unit
1.0
5.7941 0.0000 0.0000
0.0000 5.7941 0.0000
0.0000 0.0000 5.7941
K Na Nb
1 3 1
direct
0.0000 0.0000 0.0000 K
0.0000 0.0000 0.5000 Na
0.0000 0.5000 0.0000 Na
0.5000 0.0000 0.0000 Na
0.5000 0.5000 0.5000 Nb